[1]
Compound: Tm4CdPd2Pt
Source: Alexandria via LeMat-Bulk
Functional: PBE-GGA
Structure: optimized geometry

a b c (Å): 8.6054 8.6054 8.6054
angles (deg): 33.56 33.56 33.56
Positions (direct):
Tm  0.1186  0.1186  0.1186
Tm  0.3696  0.3696  0.3696
Tm  0.6304  0.6304  0.6304
Tm  0.8814  0.8814  0.8814
Cd  0.5000  0.5000  0.5000
Pd  0.2428  0.2428  0.2428
Pd  0.7572  0.7572  0.7572
Pt  0.0000  0.0000  0.0000

M_tot = 0.00 μB/atom
energy of formation = -0.870 eV per atom
symmetry = R-3m (166)
crystal system = trigonal



[2]
Compound: V2CdPdPt
Source: Alexandria via LeMat-Bulk
Functional: PBE-GGA
Structure: optimized geometry

a b c (Å): 4.6892 4.6892 5.0528
angles (deg): 90.00 90.00 90.00
Positions (direct):
V  0.0000  0.5000  0.0000
V  0.5000  0.0000  0.0000
Cd  0.0000  0.0000  0.5000
Pd  0.5000  0.5000  0.5000
Pt  0.5000  0.5000  0.0000

M_tot = 0.88 μB/atom
energy of formation = 0.781 eV per atom
symmetry = P4/mmm (123)
crystal system = tetragonal



[3]
Compound: YCdPdPt
Source: Alexandria via LeMat-Bulk
Functional: PBE-GGA
Structure: optimized geometry

a b c (Å): 4.8015 4.8015 4.8015
angles (deg): 60.00 60.00 60.00
Positions (direct):
Y  0.0000  0.0000  0.0000
Cd  0.5000  0.5000  0.5000
Pd  0.7500  0.7500  0.7500
Pt  0.2500  0.2500  0.2500

M_tot = 0.00 μB/atom
energy of formation = -0.806 eV per atom
symmetry = F-43m (216)
crystal system = cubic



[4]
Compound: Zn2Cd2Pd5Pt
Source: Alexandria via LeMat-Bulk
Functional: PBE-GGA
Structure: optimized geometry

a b c (Å): 9.4963 9.4963 3.7161
angles (deg): 90.00 90.00 90.00
Positions (direct):
Zn  0.1276  0.3724  0.0000
Zn  0.3724  0.8724  0.0000
Zn  0.6276  0.1276  0.0000
Zn  0.8724  0.6276  0.0000
Cd  0.1713  0.6713  0.0000
Cd  0.3287  0.1713  0.0000
Cd  0.6713  0.8287  0.0000
Cd  0.8287  0.3287  0.0000
Pd  0.0000  0.5000  0.5000
Pd  0.0830  0.1966  0.5000
Pd  0.1966  0.9170  0.5000
Pd  0.3034  0.4170  0.5000
Pd  0.4170  0.6966  0.5000
Pd  0.5000  0.0000  0.5000
Pd  0.5830  0.3034  0.5000
Pd  0.6966  0.5830  0.5000
Pd  0.8034  0.0830  0.5000
Pd  0.9170  0.8034  0.5000
Pt  0.0000  0.0000  0.0000
Pt  0.5000  0.5000  0.0000

M_tot = 0.00 μB/atom
energy of formation = -0.224 eV per atom
symmetry = P4/mbm (127)
crystal system = tetragonal



[5]
Compound: ZnCdPdPt
Source: Alexandria via LeMat-Bulk
Functional: PBE-GGA
Structure: optimized geometry

a b c (Å): 4.7150 4.7150 4.7150
angles (deg): 127.25 127.25 77.85
Positions (direct):
Zn  0.0000  0.0000  0.0000
Cd  0.5000  0.5000  0.0000
Pd  0.2500  0.7500  0.5000
Pt  0.7500  0.2500  0.5000

M_tot = 0.00 μB/atom
energy of formation = -0.425 eV per atom
symmetry = I-4m2 (119)
crystal system = tetragonal



[6]
Compound: Zr2CdPdPt
Source: Alexandria via LeMat-Bulk
Functional: PBE-GGA
Structure: optimized geometry

a b c (Å): 5.0443 5.0443 5.0489
angles (deg): 90.00 90.00 90.00
Positions (direct):
Zr  0.0000  0.5000  0.0000
Zr  0.5000  0.0000  0.0000
Cd  0.0000  0.0000  0.5000
Pd  0.5000  0.5000  0.5000
Pt  0.0000  0.0000  0.0000

M_tot = 0.00 μB/atom
energy of formation = 0.268 eV per atom
symmetry = P4/mmm (123)
crystal system = tetragonal



[7]
Compound: PuCdPd4
Source: Alexandria via LeMat-Bulk
Functional: PBE-GGA
Structure: optimized geometry

a b c (Å): 5.0881 5.0881 8.1565
angles (deg): 114.31 114.31 34.12
Positions (direct):
Pu  0.0000  0.0000  0.0000
Cd  0.0000  0.0000  0.5000
Pd  0.3278  0.3278  0.1718
Pd  0.3355  0.3355  0.6632
Pd  0.6645  0.6645  0.3368
Pd  0.6722  0.6722  0.8282

M_tot = 0.86 μB/atom
energy of formation = -0.352 eV per atom
symmetry = C2/m (12)
crystal system = monoclinic



[8]
Compound: PuCdPd
Source: Alexandria via LeMat-Bulk
Functional: PBE-GGA
Structure: optimized geometry

a b c (Å): 4.9533 4.9533 3.0137
angles (deg): 90.00 90.00 120.00
Positions (direct):
Pu  0.0000  0.0000  0.0000
Cd  0.3333  0.6667  0.5000
Pd  0.6667  0.3333  0.5000

M_tot = 2.00 μB/atom
energy of formation = -0.279 eV per atom
symmetry = P-6m2 (187)
crystal system = hexagonal



[9]
Compound: PuCd2Pd2
Source: Alexandria via LeMat-Bulk
Functional: PBE-GGA
Structure: optimized geometry

a b c (Å): 5.4994 5.4994 9.6933
angles (deg): 96.62 96.62 126.28
Positions (direct):
Pu  0.1245  0.8755  0.7500
Pu  0.8755  0.1245  0.2500
Cd  0.2518  0.5021  0.0027
Cd  0.4979  0.7482  0.4973
Cd  0.5021  0.2518  0.5027
Cd  0.7482  0.4979  0.9973
Pd  0.2064  0.7936  0.2500
Pd  0.4562  0.5438  0.7500
Pd  0.5438  0.4562  0.2500
Pd  0.7936  0.2064  0.7500

M_tot = 1.12 μB/atom
energy of formation = -0.207 eV per atom
energy above the most stable polymorph in this dataset = 0.095 eV per atom
symmetry = C2/c (15)
crystal system = monoclinic



[10]
Compound: Pu4CdPd12
Source: Alexandria via LeMat-Bulk
Functional: PBE-GGA
Structure: optimized geometry

a b c (Å): 7.4585 7.4585 7.4585
angles (deg): 109.47 109.47 109.47
Positions (direct):
Pu  0.0000  0.0000  0.5000
Pu  0.0000  0.5000  0.0000
Pu  0.5000  0.0000  0.0000
Pu  0.5000  0.5000  0.5000
Cd  0.0000  0.0000  0.0000
Pd  0.0000  0.3046  0.3046
Pd  0.0000  0.6954  0.6954
Pd  0.2500  0.5000  0.7500
Pd  0.2500  0.7500  0.5000
Pd  0.3046  0.0000  0.3046
Pd  0.3046  0.3046  0.0000
Pd  0.5000  0.2500  0.7500
Pd  0.5000  0.7500  0.2500
Pd  0.6954  0.0000  0.6954
Pd  0.6954  0.6954  0.0000
Pd  0.7500  0.2500  0.5000
Pd  0.7500  0.5000  0.2500

M_tot = 1.21 μB/atom
energy of formation = -0.483 eV per atom
symmetry = Im-3m (229)
crystal system = cubic



Ordered volume results: 173.5, 111.1, 78.3, 335.1, 64.4, 128.5, 106.9, 64.0, 228.5, 319.4; unit Å³/cell.